1.
Entry from the Alexandria database: crystalline NbV2Rh3 at its relaxed geometry (GGA-PBE).

Structure (extended XYZ):
```
6
Lattice="2.792 0.000 0.000 0.000 2.792 0.000 0.000 0.000 11.155" Properties=species:S:1:pos:R:3 pbc="T T T"
Nb 0.000 0.000 0.000
V 0.000 0.000 3.778
V 0.000 0.000 7.377
Rh 1.396 1.396 2.053
Rh 1.396 1.396 5.578
Rh 1.396 1.396 9.102
```

## Properties
The value obtained for the formation energy is -0.385 eV/atom. The value obtained for the mass density is 9.62 Mg/m³. The value obtained for the density of states at the Fermi level is 6.893 states/eV per cell. The calculation puts the total magnetization at 0.21 μB/cell. For the total energy, the calculation gives -8.78 eV per atom.

2.
Entry from the Alexandria database: crystalline NbVRh6 at its relaxed geometry (GGA-PBE).

Structure (extended XYZ):
```
8
Lattice="3.860 0.000 0.000 0.000 3.860 0.000 0.000 0.000 7.713" Properties=species:S:1:pos:R:3 pbc="T T T"
Nb 0.000 0.000 0.000
V 0.000 0.000 3.857
Rh 0.000 1.930 1.985
Rh 0.000 1.930 5.728
Rh 1.930 0.000 1.985
Rh 1.930 0.000 5.728
Rh 1.930 1.930 0.000
Rh 1.930 1.930 3.857
```

## Properties
The value obtained for the formation energy is -0.442 eV/atom. The value obtained for the mass density is 11.00 Mg/m³. The value obtained for the density of states at the Fermi level is 6.087 states/eV per cell. The calculation puts the total magnetization at 0.00 μB/cell. For the total energy, the calculation gives -8.35 eV per atom.

3.
Entry from the Alexandria database: crystalline Nb4V3Rh at its relaxed geometry (GGA-PBE).

Structure (extended XYZ):
```
8
Lattice="4.472 0.000 0.000 0.000 4.472 0.000 0.000 0.000 6.366" Properties=species:S:1:pos:R:3 pbc="T T T"
Nb 0.000 2.236 1.565
Nb 0.000 2.236 4.801
Nb 2.236 0.000 1.565
Nb 2.236 0.000 4.801
V 0.000 0.000 0.000
V 0.000 0.000 3.183
V 2.236 2.236 0.000
Rh 2.236 2.236 3.183
```

## Properties
The value obtained for the formation energy is -0.128 eV/atom. The value obtained for the mass density is 8.18 Mg/m³. The value obtained for the density of states at the Fermi level is 10.039 states/eV per cell. The calculation puts the total magnetization at 0.00 μB/cell. For the total energy, the calculation gives -9.50 eV per atom.

4.
Entry from the Alexandria database: crystalline NbVRh at its relaxed geometry (GGA-PBE).

Structure (extended XYZ):
```
6
Lattice="-2.479 2.642 3.532 2.479 -2.642 3.532 2.479 2.642 -3.532" Properties=species:S:1:pos:R:3 pbc="T T T"
Nb 0.000 1.321 0.839
Nb 2.479 1.321 2.693
V 1.239 1.321 -1.766
V 1.239 -1.321 1.766
Rh 2.479 0.000 0.000
Rh 0.000 0.000 3.532
```

## Properties
The value obtained for the formation energy is -0.326 eV/atom. The value obtained for the mass density is 8.86 Mg/m³. The value obtained for the density of states at the Fermi level is 7.017 states/eV per cell. The calculation puts the total magnetization at 0.00 μB/cell. For the total energy, the calculation gives -9.17 eV per atom.

5.
Entry from the Alexandria database: crystalline Nb6VRh at its relaxed geometry (GGA-PBE).

Structure (extended XYZ):
```
8
Lattice="-2.300 2.300 6.491 2.300 -2.300 6.491 2.300 2.300 -6.491" Properties=species:S:1:pos:R:3 pbc="T T T"
Nb 2.300 0.000 1.588
Nb 0.000 0.000 3.188
Nb 2.300 0.000 4.903
Nb 0.000 2.300 1.588
Nb 0.000 0.000 9.794
Nb 0.000 2.300 4.903
V 0.000 0.000 0.000
Rh 0.000 0.000 6.491
```

## Properties
The value obtained for the formation energy is -0.135 eV/atom. The value obtained for the mass density is 8.60 Mg/m³. The value obtained for the density of states at the Fermi level is 6.069 states/eV per cell. The calculation puts the total magnetization at 0.00 μB/cell. For the total energy, the calculation gives -9.75 eV per atom.

6.
Entry from the Alexandria database: crystalline Nb3VRh at its relaxed geometry (GGA-PBE).

Structure (extended XYZ):
```
5
Lattice="4.578 0.000 0.000 0.000 4.578 0.000 0.000 0.000 4.578" Properties=species:S:1:pos:R:3 pbc="T T T"
Nb 0.000 0.000 2.289
Nb 0.000 2.289 0.000
Nb 2.289 0.000 0.000
V 0.000 0.000 0.000
Rh 2.289 2.289 2.289
```

## Properties
The value obtained for the formation energy is 0.988 eV/atom. The value obtained for the mass density is 7.49 Mg/m³. The value obtained for the density of states at the Fermi level is 8.149 states/eV per cell. The calculation puts the total magnetization at 0.00 μB/cell. For the total energy, the calculation gives -8.35 eV per atom.

7.
Entry from the Alexandria database: crystalline Nb8V2Rh at its relaxed geometry (GGA-PBE).

Structure (extended XYZ):
```
11
Lattice="7.050 -2.693 0.000 7.050 2.693 0.000 -0.532 0.000 5.088" Properties=species:S:1:pos:R:3 pbc="T T T"
Nb 1.144 0.000 0.600
Nb 5.478 1.330 1.924
Nb 3.633 0.000 4.478
Nb 8.090 1.330 3.164
Nb 5.478 -1.330 1.924
Nb 9.936 0.000 0.610
Nb 8.090 -1.330 3.164
Nb 12.425 0.000 4.488
V 3.172 0.000 1.918
V 10.396 0.000 3.169
Rh 7.050 0.000 0.000
```

## Properties
The value obtained for the formation energy is 0.091 eV/atom. The value obtained for the mass density is 8.15 Mg/m³. The value obtained for the density of states at the Fermi level is 9.248 states/eV per cell. The calculation puts the total magnetization at 0.00 μB/cell. For the total energy, the calculation gives -9.56 eV per atom.

8.
Entry from the Alexandria database: crystalline Nb3VRh at its relaxed geometry (GGA-PBE).

Structure (extended XYZ):
```
5
Lattice="4.811 0.000 0.000 0.000 4.811 0.000 0.000 0.000 4.811" Properties=species:S:1:pos:R:3 pbc="T T T"
Nb 0.000 0.000 2.405
Nb 0.000 2.405 0.000
Nb 2.405 0.000 0.000
V 2.405 2.405 2.405
Rh 0.000 0.000 0.000
```

## Properties
The value obtained for the formation energy is 1.209 eV/atom. The value obtained for the mass density is 6.45 Mg/m³. The value obtained for the density of states at the Fermi level is 7.678 states/eV per cell. The calculation puts the total magnetization at 3.17 μB/cell. For the total energy, the calculation gives -8.13 eV per atom.

9.
Entry from the Alexandria database: crystalline NbVRh5 at its relaxed geometry (GGA-PBE).

Structure (extended XYZ):
```
14
Lattice="4.611 -2.765 0.000 4.611 2.765 0.000 -2.309 0.000 8.654" Properties=species:S:1:pos:R:3 pbc="T T T"
Nb 2.880 2.041 6.490
Nb 4.034 -2.041 2.163
V 2.306 1.382 0.000
V 1.151 -1.382 4.327
Rh 0.578 0.437 6.339
Rh 2.436 0.852 4.354
Rh 1.732 -0.437 2.012
Rh 4.034 0.923 2.163
Rh 3.323 0.852 8.627
Rh 3.591 -0.852 0.027
Rh 2.880 -0.923 6.490
Rh 5.181 0.437 6.642
Rh 4.478 -0.852 4.300
Rh 6.336 -0.437 2.315
```

## Properties
The value obtained for the formation energy is -0.100 eV/atom. The value obtained for the mass density is 9.91 Mg/m³. The value obtained for the density of states at the Fermi level is 12.434 states/eV per cell. The calculation puts the total magnetization at 0.40 μB/cell. For the total energy, the calculation gives -8.09 eV per atom.

10.
Entry from the Alexandria database: crystalline NbVRh5 at its relaxed geometry (GGA-PBE).

Structure (extended XYZ):
```
7
Lattice="3.987 0.000 0.000 0.000 3.987 0.000 0.000 0.000 6.756" Properties=species:S:1:pos:R:3 pbc="T T T"
Nb 0.000 0.000 0.000
V 1.994 1.994 3.378
Rh 0.000 1.994 1.919
Rh 0.000 1.994 4.837
Rh 1.994 0.000 1.919
Rh 1.994 0.000 4.837
Rh 1.994 1.994 0.000
```

## Properties
The value obtained for the formation energy is -0.248 eV/atom. The value obtained for the mass density is 10.18 Mg/m³. The value obtained for the density of states at the Fermi level is 7.868 states/eV per cell. The calculation puts the total magnetization at 0.00 μB/cell. For the total energy, the calculation gives -8.24 eV per atom.

11.
Entry from the Alexandria database: crystalline NbVRh6 at its relaxed geometry (GGA-PBE).

Structure (extended XYZ):
```
8
Lattice="3.774 -2.664 0.000 3.774 2.664 0.000 -2.716 0.000 6.527" Properties=species:S:1:pos:R:3 pbc="T T T"
Nb 0.000 0.000 0.000
V 2.416 0.000 3.263
Rh 1.764 1.391 1.341
Rh -0.042 0.000 2.894
Rh 3.068 1.391 5.186
Rh 1.764 -1.391 1.341
Rh 4.873 0.000 3.633
Rh 3.068 -1.391 5.186
```

## Properties
The value obtained for the formation energy is 0.082 eV/atom. The value obtained for the mass density is 9.63 Mg/m³. The value obtained for the density of states at the Fermi level is 11.501 states/eV per cell. The calculation puts the total magnetization at 0.00 μB/cell. For the total energy, the calculation gives -7.83 eV per atom.

12.
Entry from the Alexandria database: crystalline NbV2Rh5 at its relaxed geometry (GGA-PBE).

Structure (extended XYZ):
```
16
Lattice="5.476 0.000 0.000 0.000 10.947 0.000 0.000 0.000 3.862" Properties=species:S:1:pos:R:3 pbc="T T T"
Nb 0.000 0.000 0.000
Nb 2.738 5.473 0.000
V 1.181 3.980 1.931
V 1.557 9.454 1.931
V 3.919 1.493 1.931
V 4.295 6.966 1.931
Rh 0.000 5.473 0.000
Rh 0.086 8.215 0.000
Rh 1.322 1.359 1.931
Rh 1.416 6.832 1.931
Rh 2.652 2.741 0.000
Rh 2.738 0.000 0.000
Rh 2.824 8.205 0.000
Rh 4.060 4.115 1.931
Rh 4.154 9.588 1.931
Rh 5.390 2.732 0.000
```

## Properties
The value obtained for the formation energy is -0.362 eV/atom. The value obtained for the mass density is 10.18 Mg/m³. The value obtained for the density of states at the Fermi level is 18.040 states/eV per cell. The calculation puts the total magnetization at 0.00 μB/cell. For the total energy, the calculation gives -8.49 eV per atom.

Q: The highest formation energy belongs to which entry?
A: number 8